5
Lattice="-1.3587 -0.9607 -4.0986 1.5954 -4.9825 0.6390 -3.9910 -1.0759 1.5752" Properties=species:S:1:pos:R:3 comment="SrCr2MoOs (PBE, optimized geometry)" n_ef_per_ev_atom=1.81 formation_enthalpy_0k_mev_per_atom=2185 crystal_system=tetragonal pbc="T T T"
Sr 0.7977 -2.4912 0.3195
Mo 0.0000 0.0000 0.0000
Os -1.8771 -3.5096 -0.9422
Cr -1.9955 -0.5380 0.7876
Cr -0.6793 -0.4804 -2.0493